Model w:
The following is a DFT calculation (PBE-GGA) of LaTb8Er2 after structural relaxation.

Unit cell a=9.0456 b=16.5032 c=5.9133 alpha=90.00 beta=125.01 gamma=90.00
Closest atoms and distances in Å follow each position.
Space group C2/m (No. 12)
Asymmetric unit:
La 0.0000 0.0000 0.0000  4 Tb 3.38-3.39
Tb 0.0000 0.2055 0.0000  1 La 3.39, 4 Er 3.42-3.73, 6 Tb 3.53-3.67
Tb 0.0649 0.5000 0.7914  4 Tb 2.93-3.29
Tb 0.2219 0.1228 0.6907  4 Tb 3.23-3.53, 2 Er 3.48-3.50
Er 0.0000 0.3099 0.5000  10 Tb 3.42-3.73

***

Model x:
The following is a DFT calculation (PBE-GGA) of LaTb8Er2 after structural relaxation.

Unit cell a=5.5332 b=8.1980 c=15.8955 alpha=90.00 beta=90.00 gamma=90.00
Closest atoms and distances in Å follow each position.
Space group Immm (No. 71)
Asymmetric unit:
La 0.0000 0.0000 0.0000  8 Tb 3.29-3.68
Tb 0.0000 0.2034 0.5000  7 Tb 3.34-3.57, 2 Er 3.58, 2 La 3.68
Tb 0.0000 0.2950 0.1407  1 La 3.29, 4 Tb 3.36-3.56, 3 Er 3.37-3.51
Tb 0.0000 0.5000 0.3359  2 Er 3.52, 8 Tb 3.53-3.69, 2 La 3.80
Er 0.0000 0.0000 0.3008  10 Tb 3.37-3.58

***

Which of them is the least stable? Correct choice: model w.

***

Model w:
The following is a DFT calculation (PBE-GGA) of La4Tb7Er after structural relaxation.

Unit cell a=12.0990 b=5.9705 c=12.9091 alpha=90.00 beta=116.20 gamma=90.00
Closest atoms and distances in Å follow each position.
Space group C2/m (No. 12)
Asymmetric unit:
La 0.0900 0.0000 0.2902  4 Tb 3.30-3.68
La 0.1342 0.5000 0.7756  7 Tb 3.41-3.70, 1 La 3.79
Tb 0.0000 0.0000 0.0000  2 Er 2.99, 2 Tb 3.17
Tb 0.1333 0.5000 0.4889  3 La 3.30-3.70, 4 Tb 3.36-3.45
Tb 0.1699 0.0000 0.6340  4 Tb 3.39-3.47, 3 La 3.63-3.68
Tb 0.2108 0.0000 0.9176  4 Tb 3.17-3.54, 1 Er 3.18, 3 La 3.41-3.44
Er 0.0000 0.5000 0.0000  4 Tb 2.99-3.18

***

Model x:
The following is a DFT calculation (PBE-GGA) of La4Tb7Er after structural relaxation.

Unit cell a=3.6200 b=3.6200 c=35.3976 alpha=90.00 beta=90.00 gamma=120.00
Closest atoms and distances in Å follow each position.
Space group P-3m1 (No. 164)
Asymmetric unit:
La 0.3333 0.6667 0.1654  6 La 3.62, 6 Tb 3.66
La 0.3333 0.6667 0.4159  6 La 3.62, 6 Tb 3.64-3.66
Tb 0.0000 0.0000 0.2502  9 Tb 3.55-3.62, 3 La 3.66
Tb 0.0000 0.0000 0.5000  6 Tb 3.62, 6 La 3.64
Tb 0.3333 0.6667 0.6689  9 Tb 3.55-3.62, 3 La 3.66
Tb 0.3333 0.6667 0.9197  3 Er 3.53, 6 Tb 3.62, 3 La 3.66
Er 0.0000 0.0000 0.0000  6 Tb 3.53, 6 Er 3.62

***

Which of them is the least stable? Correct choice: model w.

***

Model w:
The following is a DFT calculation (PBE-GGA) of La4Tb3Er after structural relaxation.

Unit cell a=11.9873 b=13.4911 c=3.4311 alpha=90.00 beta=90.00 gamma=90.00
Closest atoms and distances in Å follow each position.
Space group Cmmm (No. 65)
Asymmetric unit:
La 0.0000 0.2480 0.0000  1 Er 3.35, 5 Tb 3.40-3.45, 2 La 3.43
La 0.2498 0.0000 0.5000  4 Tb 3.37-3.45, 2 La 3.43, 2 Er 3.45
Tb 0.0000 0.5000 0.0000  6 La 3.40-3.45, 2 Tb 3.43
Tb 0.2500 0.2500 0.5000  6 La 3.37-3.45, 2 Tb 3.43
Er 0.0000 0.0000 0.0000  6 La 3.35-3.45, 2 Er 3.43

***

Model x:
The following is a DFT calculation (PBE-GGA) of La4Tb3Er after structural relaxation.

Unit cell a=25.1775 b=3.4717 c=6.3208 alpha=90.00 beta=92.64 gamma=90.00
Closest atoms and distances in Å follow each position.
Space group C2/m (No. 12)
Asymmetric unit:
La 0.1059 0.0000 0.2418  3 Tb 3.19-3.28, 4 La 3.36-3.47, 2 Er 3.48
La 0.2204 0.5000 0.2465  4 La 3.36-3.47, 1 Tb 3.51
Tb 0.0000 0.0000 0.5000  2 La 3.19, 2 Tb 3.47
Tb 0.1400 0.0000 0.7488  3 La 3.27-3.51, 2 Tb 3.47
Er 0.0000 0.5000 0.0000  2 Er 3.47, 4 La 3.48, 4 Tb 3.61

***

Which of them is the least stable? Correct choice: model w.

***

Model w:
The following is a DFT calculation (PBE-GGA) of LaTb9Er2 after structural relaxation.

Unit cell a=11.2969 b=11.2969 c=3.5273 alpha=90.00 beta=90.00 gamma=120.00
Closest atoms and distances in Å follow each position.
Space group P6/mmm (No. 191)
Asymmetric unit:
La 0.0000 0.0000 0.0000  2 La 3.53, 12 Tb 3.92
Tb 0.0000 0.5000 0.0000  2 Er 3.26, 10 Tb 3.53-3.61
Tb 0.1791 0.3583 0.5000  2 Er 3.49, 8 Tb 3.51-3.61
Er 0.3333 0.6667 0.0000  9 Tb 3.26-3.49, 2 Er 3.53

***

Model x:
The following is a DFT calculation (PBE-GGA) of LaTb9Er2 after structural relaxation.

Unit cell a=5.0455 b=5.0455 c=15.1605 alpha=90.00 beta=90.00 gamma=90.00
Closest atoms and distances in Å follow each position.
Space group P4/mmm (No. 123)
Asymmetric unit:
La 0.0000 0.0000 0.0000  12 Tb 3.57-3.62
Tb 0.0000 0.5000 0.1708  2 Er 3.54, 8 Tb 3.56-3.62, 2 La 3.62
Tb 0.0000 0.5000 0.5000  8 Tb 3.54-3.57, 4 Er 3.55
Tb 0.5000 0.5000 0.0000  4 La 3.57, 8 Tb 3.62
Tb 0.5000 0.5000 0.3363  8 Tb 3.54-3.56, 4 Er 3.57
Er 0.0000 0.0000 0.3348  12 Tb 3.54-3.57

***

Which of them is the least stable? Correct choice: model w.

***

Model w:
The following is a DFT calculation (PBE-GGA) of LaTbEr2 after structural relaxation.

Unit cell a=8.0856 b=8.0856 c=8.0856 alpha=90.00 beta=90.00 gamma=90.00
Closest atoms and distances in Å follow each position.
Space group Fm-3m (No. 225)
Asymmetric unit:
La 0.0000 0.0000 0.0000  8 Er 3.50
Tb 0.0000 0.0000 0.5000  8 Er 3.50
Er 0.2500 0.2500 0.2500  4 Tb 3.50, 4 La 3.50

***

Model x:
The following is a DFT calculation (PBE-GGA) of LaTbEr2 after structural relaxation.

Unit cell a=3.5963 b=3.5963 c=10.0679 alpha=90.00 beta=90.00 gamma=90.00
Closest atoms and distances in Å follow each position.
Space group P4/mmm (No. 123)
Asymmetric unit:
La 0.0000 0.0000 0.0000  4 La 3.60, 8 Er 3.63
Tb 0.0000 0.0000 0.5000  8 Er 3.53, 4 Tb 3.60
Er 0.5000 0.5000 0.2570  4 Tb 3.53, 4 Er 3.60, 4 La 3.63

***

Model y:
The following is a DFT calculation (PBE-GGA) of LaTbEr2 after structural relaxation.

Unit cell a=3.6051 b=3.6051 c=34.6203 alpha=90.00 beta=90.00 gamma=120.00
Closest atoms and distances in Å follow each position.
Space group R3m (No. 160, hexagonal axes)
Asymmetric unit:
La 0.0000 0.0000 0.0000  6 Er 3.60-3.61, 6 La 3.61
Tb 0.0000 0.0000 0.1659  6 Er 3.50-3.52, 6 Tb 3.61
Er 0.0000 0.0000 0.4180  3 Tb 3.50, 3 La 3.60, 6 Er 3.61
Er 0.0000 0.0000 0.5813  3 Tb 3.52, 6 Er 3.61, 3 La 3.61

***

Which of them is the least stable? Correct choice: model w.

***

Model w:
The following is a DFT calculation (PBE-GGA) of LaTb3Er after structural relaxation.

Unit cell a=3.6579 b=11.6864 c=8.5611 alpha=90.00 beta=102.32 gamma=90.00
Closest atoms and distances in Å follow each position.
Space group P2_1/m (No. 11)
Asymmetric unit:
La 0.1924 0.2500 0.3864  6 Tb 3.31-3.54, 2 Er 3.42, 2 La 3.66
Tb 0.1423 0.7500 0.2831  2 Er 3.27, 2 La 3.31-3.32, 6 Tb 3.43-3.66
Tb 0.3484 0.0025 0.6972  6 Tb 3.43-3.77, 2 La 3.54, 1 Er 3.67
Er 0.4813 0.7500 0.9590  2 Tb 3.27, 2 La 3.42, 2 Er 3.66

***

Model x:
The following is a DFT calculation (PBE-GGA) of LaTb3Er after structural relaxation.

Unit cell a=6.3037 b=6.7947 c=9.3037 alpha=71.93 beta=89.98 gamma=62.45
Closest atoms and distances in Å follow each position.
Space group P-1 (No. 2)
Asymmetric unit:
La 0.1292 0.3985 0.3465  9 Tb 3.54-3.70, 1 La 3.62, 2 Er 3.62-3.68
Tb 0.0693 0.1959 0.0472  6 Tb 3.50-3.65, 4 Er 3.53-3.63, 2 La 3.56-3.62
Tb 0.2669 0.7984 0.4472  6 Tb 3.54-3.65, 4 La 3.55-3.70, 2 Er 3.56-3.71
Tb 0.3354 0.9952 0.7520  6 Tb 3.52-3.65, 3 La 3.54-3.70, 3 Er 3.55-3.60
Er 0.4664 0.3977 0.8541  1 Er 3.52, 9 Tb 3.53-3.71, 2 La 3.62-3.68

***

Which of them is the least stable? Correct choice: model w.

***

Model w:
The following is a DFT calculation (PBE-GGA) of LaTb2Er7 after structural relaxation.

Unit cell a=8.6708 b=16.1441 c=5.5920 alpha=90.00 beta=90.00 gamma=90.00
Closest atoms and distances in Å follow each position.
Space group Cmmm (No. 65)
Asymmetric unit:
La 0.0000 0.0000 0.0000  10 Er 3.49-3.69
Tb 0.0000 0.2969 0.5000  7 Er 3.08-3.30
Er 0.0000 0.2162 0.0000  2 Tb 3.08
Er 0.0000 0.5000 0.5000  2 Tb 3.28, 4 Er 3.37
Er 0.1764 0.1155 0.5000  2 Er 3.06-3.37, 2 Tb 3.14-3.30

***

Model x:
The following is a DFT calculation (PBE-GGA) of LaTb2Er7 after structural relaxation.

Unit cell a=8.2416 b=17.2029 c=5.4524 alpha=90.00 beta=90.00 gamma=90.00
Closest atoms and distances in Å follow each position.
Space group Cmmm (No. 65)
Asymmetric unit:
La 0.0000 0.0000 0.0000  8 Er 3.60
Tb 0.0000 0.2672 0.5000  6 Er 3.29-3.56
Er 0.0000 0.4004 0.0000  3 Er 3.22-3.43, 2 Tb 3.56
Er 0.0000 0.5000 0.5000  8 Er 3.06-3.22
Er 0.1933 0.1000 0.5000  2 Er 3.06-3.19, 2 Tb 3.29-3.41

***

Which of them is the least stable? Correct choice: model w.

***

Model w:
The following is a DFT calculation (PBE-GGA) of La2TbEr3 after structural relaxation.

Unit cell a=6.2207 b=8.0473 c=8.8318 alpha=111.66 beta=90.18 gamma=104.79
Closest atoms and distances in Å follow each position.
Space group P-1 (No. 2)
Asymmetric unit:
La 0.1242 0.1255 0.3752  7 Er 3.56-3.62, 3 Tb 3.57-3.61, 2 La 3.61
La 0.3755 0.3749 0.1252  8 Er 3.56-3.61, 2 Tb 3.60-3.61, 2 La 3.61
Tb 0.4618 0.1238 0.7081  6 Er 3.57-3.65, 5 La 3.57-3.61, 1 Tb 3.58
Er 0.0386 0.3775 0.7929  5 Er 3.56-3.61, 5 La 3.56-3.62, 2 Tb 3.57-3.65
Er 0.2104 0.8728 0.9579  5 Er 3.56-3.64, 5 La 3.56-3.61, 2 Tb 3.57-3.62
Er 0.2883 0.6261 0.5425  5 La 3.56-3.61, 5 Er 3.56-3.64, 2 Tb 3.58-3.62

***

Model x:
The following is a DFT calculation (PBE-GGA) of La2TbEr3 after structural relaxation.

Unit cell a=9.3782 b=13.3384 c=6.4696 alpha=90.00 beta=90.00 gamma=90.00
Closest atoms and distances in Å follow each position.
Space group Cmc2_1 (No. 36)
Asymmetric unit:
La 0.1856 0.1800 0.0000  2 Tb 3.23-3.26, 3 Er 3.30-3.58, 1 La 3.48
Tb 0.0000 0.3304 0.2849  4 La 3.23-3.26, 3 Er 3.31-3.57
Er 0.0000 0.4218 0.7659  3 Tb 3.31-3.57, 2 Er 3.37, 2 La 3.67
Er 0.1868 0.0671 0.5189  4 La 3.30-3.68, 2 Er 3.37-3.50, 1 Tb 3.67

***

Which of them is the least stable? Correct choice: model x.

***

Model w:
The following is a DFT calculation (PBE-GGA) of La7Tb3Er after structural relaxation.

Unit cell a=6.0238 b=11.4406 c=11.5679 alpha=90.00 beta=90.00 gamma=90.00
Closest atoms and distances in Å follow each position.
Space group Immm (No. 71)
Asymmetric unit:
La 0.0000 0.0000 0.0000  2 Er 3.01
La 0.0000 0.2109 0.5000  1 Er 3.31, 2 Tb 3.39, 2 La 3.51
La 0.0000 0.3064 0.2116  2 Tb 3.30-3.64, 3 La 3.40-3.51
Tb 0.0000 0.0000 0.2947  9 La 3.39-3.74
Tb 0.0000 0.5000 0.0000  4 La 3.30
Er 0.0000 0.5000 0.5000  4 La 3.01-3.31

***

Model x:
The following is a DFT calculation (PBE-GGA) of La7Tb3Er after structural relaxation.

Unit cell a=18.8787 b=7.1330 c=11.7206 alpha=90.00 beta=90.00 gamma=90.00
Closest atoms and distances in Å follow each position.
Space group Cmcm (No. 63)
Asymmetric unit:
La 0.0000 0.2357 0.2500  2 Er 3.38, 2 Tb 3.48
La 0.0872 0.2594 0.7500  3 La 3.29-3.60, 2 Tb 3.51-3.60
La 0.1630 0.2529 0.0315  4 La 3.37-3.68, 3 Tb 3.51-3.57, 1 Er 3.59
Tb 0.0000 0.5000 0.0000  10 La 3.48-3.77, 2 Er 3.57
Tb 0.2459 0.0034 0.7500  6 La 3.51-3.60, 2 Tb 3.57
Er 0.0000 0.0000 0.0000  6 La 3.38-3.59, 2 Tb 3.57

***

Which of them is the least stable? Correct choice: model w.

***

Model w:
The following is a DFT calculation (PBE-GGA) of LaTb2Er4 after structural relaxation.

Unit cell a=6.0225 b=8.4971 c=9.8240 alpha=85.22 beta=72.91 gamma=69.51
Closest atoms and distances in Å follow each position.
Space group P1 (No. 1)
Asymmetric unit:
La 0.0000 0.0000 0.0000  7 Er 3.36-3.72, 3 Tb 3.55-3.70
La 0.2883 0.1397 0.2802  7 Er 3.38-3.73, 3 Tb 3.57-3.71
Tb 0.1759 0.6375 0.7784  8 Er 3.37-3.72, 2 Tb 3.57-3.72, 1 La 3.58
Tb 0.1863 0.5705 0.1408  8 Er 3.45-3.65, 2 Tb 3.57-3.58, 2 La 3.70-3.71
Tb 0.8904 0.5040 0.5038  8 Er 3.36-3.72, 2 Tb 3.58-3.72, 1 La 3.61
Tb 0.9905 0.0707 0.6404  8 Er 3.47-3.70, 2 La 3.55-3.57, 2 Tb 3.72
Er 0.3604 0.7146 0.4199  4 Er 3.32-3.61, 4 Tb 3.37-3.64, 1 La 3.68
Er 0.3846 0.2216 0.9134  4 Er 3.29-3.64, 2 La 3.36-3.53, 2 Tb 3.50-3.59
Er 0.4381 0.2829 0.5610  5 Tb 3.36-3.71, 5 Er 3.39-3.73, 1 La 3.56
Er 0.5656 0.8578 0.7186  5 Tb 3.38-3.69, 5 Er 3.41-3.74, 1 La 3.58
Er 0.6118 0.7759 0.0637  4 Er 3.38-3.60, 3 La 3.40-3.72, 3 Tb 3.46-3.60
Er 0.7396 0.3655 0.2185  4 Er 3.39-3.60, 3 La 3.39-3.73, 3 Tb 3.45-3.59
Er 0.7738 0.4271 0.8633  4 Er 3.29-3.64, 4 Tb 3.37-3.65
Er 0.8126 0.9188 0.3673  4 Er 3.32-3.61, 2 La 3.38-3.54, 3 Tb 3.50-3.64

***

Model x:
The following is a DFT calculation (PBE-GGA) of LaTb2Er4 after structural relaxation.

Unit cell a=7.0635 b=8.5898 c=8.8046 alpha=114.40 beta=101.59 gamma=101.90
Closest atoms and distances in Å follow each position.
Space group P1 (No. 1)
Asymmetric unit:
La 0.0000 0.0000 0.0000  5 Tb 3.51-3.88, 8 Er 3.59-3.83
La 0.3009 0.6635 0.5450  7 Er 3.35-3.64, 3 Tb 3.50-3.66
Tb 0.0906 0.5361 0.8399  9 Er 3.32-3.64, 1 La 3.66
Tb 0.4212 0.2619 0.4149  7 Er 3.16-3.54, 1 La 3.50
Tb 0.4989 0.9980 0.0083  3 La 3.51-3.64, 7 Er 3.56-3.85, 3 Tb 3.59-3.87
Tb 0.7757 0.8397 0.2761  6 Er 3.15-3.52
Er 0.1952 0.1088 0.6733  7 Er 3.51-3.81, 4 Tb 3.54-3.85, 2 La 3.79-3.80
Er 0.2748 0.8380 0.2677  4 Tb 3.16-3.54, 1 La 3.35, 2 Er 3.51-3.52
Er 0.3920 0.4323 0.1314  4 Tb 3.37-3.72, 6 Er 3.48-3.61, 2 La 3.62-3.70
Er 0.5967 0.5457 0.8448  4 Tb 3.32-3.55, 5 Er 3.49-3.69, 1 La 3.64
Er 0.6931 0.1081 0.6756  7 Er 3.51-3.81, 4 Tb 3.53-3.84, 2 La 3.78
Er 0.8006 0.6621 0.5459  3 Tb 3.31-3.63, 4 Er 3.48-3.62, 3 La 3.53-3.59
Er 0.8859 0.4347 0.1318  7 Er 3.35-3.60, 3 Tb 3.49-3.73, 2 La 3.62-3.74
Er 0.9140 0.2599 0.4094  3 Tb 3.15-3.49, 2 Er 3.35-3.48, 1 La 3.50

***

Which of them is the least stable? Correct choice: model w.